# 1
# Tb2Cd3Pb

Crystalline Tb2Cd3Pb at its relaxed geometry (GGA-PBE, Alexandria via LeMat-Bulk).

Unit cell a=9.9920 b=9.3400 c=6.1443 alpha=77.34 beta=65.79 gamma=36.87
Last column: nearest neighbours and their distance in Å.
Positions (direct):
Tb 0.2482 0.7518 0.7518  10 Cd 3.31-3.43, 2 Pb 3.38, 2 Tb 3.52-3.57
Tb 0.2500 0.2500 0.2500  4 Pb 3.40, 8 Cd 3.41-3.42, 2 Tb 3.55
Tb 0.7500 0.7500 0.7500  4 Pb 3.40, 8 Cd 3.41-3.42, 2 Tb 3.55
Tb 0.7518 0.2482 0.2482  10 Cd 3.31-3.43, 2 Pb 3.38, 2 Tb 3.52-3.57
Cd 0.1625 0.1625 0.8375  2 Cd 2.83, 1 Pb 2.97
Cd 0.1633 0.6741 0.3259  2 Cd 2.81-2.83, 1 Pb 2.95
Cd 0.3259 0.8367 0.1633  2 Cd 2.81-2.83, 1 Pb 2.95
Cd 0.6741 0.1633 0.8367  2 Cd 2.81-2.83, 1 Pb 2.95
Cd 0.8367 0.3259 0.6741  2 Cd 2.81-2.83, 1 Pb 2.95
Cd 0.8375 0.8375 0.1625  2 Cd 2.83, 1 Pb 2.97
Pb 0.3342 0.3342 0.6658  3 Cd 2.95-2.97
Pb 0.6658 0.6658 0.3342  3 Cd 2.95-2.97

Summary:
- calculated total energy (eV per atom) = -2.954
- calculated formation energy (eV per atom) = -0.34
- volume (A^3/atom) = 25.624
- Fermi-level density of states (states/eV/f.u.) = 3.96


# 2
# Tb2CdPb4

Crystalline Tb2CdPb4 at its relaxed geometry (GGA-PBE, Alexandria via LeMat-Bulk).

Unit cell a=6.5946 b=6.5946 c=4.7897 alpha=90.00 beta=90.00 gamma=94.77
Last column: nearest neighbours and their distance in Å.
Positions (direct):
Tb 0.2429 0.7571 0.0000  8 Pb 3.25-3.35, 2 Cd 3.36
Tb 0.7571 0.2429 0.0000  8 Pb 3.25-3.35, 2 Cd 3.36
Cd 0.0000 0.0000 0.5000  8 Pb 3.30-3.38, 4 Tb 3.36
Pb 0.0000 0.5000 0.5000  4 Tb 3.27, 2 Cd 3.30, 4 Pb 3.41
Pb 0.2664 0.2664 0.0000  4 Tb 3.25-3.35, 2 Cd 3.38, 4 Pb 3.41
Pb 0.5000 0.0000 0.5000  4 Tb 3.27, 2 Cd 3.30, 4 Pb 3.41
Pb 0.7336 0.7336 0.0000  4 Tb 3.25-3.35, 2 Cd 3.38, 4 Pb 3.41

Summary:
- calculated total energy (eV per atom) = -3.865
- calculated formation energy (eV per atom) = -0.29
- volume (A^3/atom) = 29.653
- Fermi-level density of states (states/eV/f.u.) = 2.53
- polymorph energy (0 for the lowest one) (meV/atom) = 0


# 3
# Tb3CdPb2

Crystalline Tb3CdPb2 at its relaxed geometry (GGA-PBE, Alexandria via LeMat-Bulk).

Unit cell a=8.9021 b=8.9021 c=6.5069 alpha=102.11 beta=102.11 gamma=42.30
Last column: nearest neighbours and their distance in Å.
Positions (direct):
Tb 0.1419 0.8581 0.7500  2 Cd 3.12-3.31, 4 Pb 3.18-3.34
Tb 0.2212 0.4374 0.4023  5 Pb 3.19-3.54, 2 Cd 3.21-3.54, 2 Tb 3.54
Tb 0.4374 0.2212 0.9023  5 Pb 3.19-3.54, 2 Cd 3.21-3.54, 2 Tb 3.54
Tb 0.5626 0.7788 0.0977  5 Pb 3.19-3.54, 2 Cd 3.21-3.54, 2 Tb 3.54
Tb 0.7788 0.5626 0.5977  5 Pb 3.19-3.54, 2 Cd 3.21-3.54, 2 Tb 3.54
Tb 0.8581 0.1419 0.2500  2 Cd 3.12-3.31, 4 Pb 3.18-3.34
Cd 0.3728 0.6272 0.2500  4 Tb 3.12-3.31, 2 Pb 3.39
Cd 0.6272 0.3728 0.7500  4 Tb 3.12-3.31, 2 Pb 3.39
Pb 0.0524 0.2656 0.0563  7 Tb 3.18-3.54, 1 Cd 3.39, 2 Pb 3.53
Pb 0.2656 0.0524 0.5563  7 Tb 3.18-3.54, 1 Cd 3.39, 2 Pb 3.53
Pb 0.7344 0.9476 0.4437  7 Tb 3.18-3.54, 1 Cd 3.39, 2 Pb 3.53
Pb 0.9476 0.7344 0.9437  7 Tb 3.18-3.54, 1 Cd 3.39, 2 Pb 3.53

Summary:
- calculated total energy (eV per atom) = -4.079
- calculated formation energy (eV per atom) = -0.38
- volume (A^3/atom) = 28.178
- Fermi-level density of states (states/eV/f.u.) = 4.56


# 4
# TbThCdPb

Crystalline TbThCdPb at its relaxed geometry (GGA-PBE, Alexandria via LeMat-Bulk).

Unit cell a=5.4516 b=5.4516 c=5.4516 alpha=60.00 beta=60.00 gamma=60.00
Last column: nearest neighbours and their distance in Å.
Positions (direct):
Tb 0.0000 0.0000 0.0000  4 Pb 3.34, 4 Cd 3.34
Th 0.5000 0.5000 0.5000  4 Cd 3.34, 4 Pb 3.34
Cd 0.2500 0.2500 0.2500  4 Th 3.34, 4 Tb 3.34
Pb 0.7500 0.7500 0.7500  4 Th 3.34, 4 Tb 3.34

Summary:
- calculated total energy (eV per atom) = -4.403
- calculated formation energy (eV per atom) = -0.24
- volume (A^3/atom) = 28.642
- Fermi-level density of states (states/eV/f.u.) = 3.68


# 5
# TbTlCdPb

Crystalline TbTlCdPb at its relaxed geometry (GGA-PBE, Alexandria via LeMat-Bulk).

Unit cell a=4.5613 b=4.6959 c=4.9570 alpha=90.00 beta=90.00 gamma=90.00
Last column: nearest neighbours and their distance in Å.
Positions (direct):
Tb 0.0000 0.0000 0.0000  4 Pb 3.27, 4 Tl 3.37, 4 Cd 3.41
Tl 0.5000 0.0000 0.5000  4 Cd 3.27, 4 Tb 3.37, 4 Pb 3.41
Cd 0.0000 0.5000 0.5000  4 Tl 3.27, 4 Pb 3.37, 4 Tb 3.41
Pb 0.5000 0.5000 0.0000  4 Tb 3.27, 4 Cd 3.37, 4 Tl 3.41

Summary:
- calculated total energy (eV per atom) = -3.207
- calculated formation energy (eV per atom) = -0.30
- volume (A^3/atom) = 26.544
- Fermi-level density of states (states/eV/f.u.) = 1.58
- polymorph energy (0 for the lowest one) (meV/atom) = 0


# 6
# TbTlCdPb

Crystalline TbTlCdPb at its relaxed geometry (GGA-PBE, Alexandria via LeMat-Bulk).

Unit cell a=5.3780 b=5.3780 c=5.3780 alpha=60.00 beta=60.00 gamma=60.00
Last column: nearest neighbours and their distance in Å.
Positions (direct):
Tb 0.0000 0.0000 0.0000  4 Tl 3.29, 4 Pb 3.29
Tl 0.2500 0.2500 0.2500  4 Cd 3.29, 4 Tb 3.29
Cd 0.5000 0.5000 0.5000  4 Tl 3.29, 4 Pb 3.29
Pb 0.7500 0.7500 0.7500  4 Cd 3.29, 4 Tb 3.29

Summary:
- calculated total energy (eV per atom) = -3.035
- calculated formation energy (eV per atom) = -0.13
- volume (A^3/atom) = 27.496
- Fermi-level density of states (states/eV/f.u.) = 1.59
- polymorph energy (0 for the lowest one) (meV/atom) = 171


# 7
# TbYCdPb

Crystalline TbYCdPb at its relaxed geometry (GGA-PBE, Alexandria via LeMat-Bulk).

Unit cell a=5.3544 b=5.3544 c=5.3544 alpha=60.00 beta=60.00 gamma=60.00
Last column: nearest neighbours and their distance in Å.
Positions (direct):
Tb 0.0000 0.0000 0.0000  4 Cd 3.28, 4 Pb 3.28
Y 0.5000 0.5000 0.5000  4 Pb 3.28, 4 Cd 3.28
Cd 0.2500 0.2500 0.2500  4 Y 3.28, 4 Tb 3.28
Pb 0.7500 0.7500 0.7500  4 Y 3.28, 4 Tb 3.28

Summary:
- calculated total energy (eV per atom) = -4.333
- calculated formation energy (eV per atom) = -0.40
- volume (A^3/atom) = 27.136
- Fermi-level density of states (states/eV/f.u.) = 3.45


# 8
# TbZrCdPb

Crystalline TbZrCdPb at its relaxed geometry (GGA-PBE, Alexandria via LeMat-Bulk).

Unit cell a=5.2041 b=5.2041 c=5.2041 alpha=60.00 beta=60.00 gamma=60.00
Last column: nearest neighbours and their distance in Å.
Positions (direct):
Tb 0.0000 0.0000 0.0000  4 Cd 3.19, 4 Pb 3.19
Zr 0.5000 0.5000 0.5000  4 Cd 3.19, 4 Pb 3.19
Cd 0.7500 0.7500 0.7500  4 Tb 3.19, 4 Zr 3.19
Pb 0.2500 0.2500 0.2500  4 Zr 3.19, 4 Tb 3.19

Summary:
- calculated total energy (eV per atom) = -4.616
- calculated formation energy (eV per atom) = -0.17
- volume (A^3/atom) = 24.915
- Fermi-level density of states (states/eV/f.u.) = 4.20